(1)
{"formula": "CuHgBi2", "functional": "GGA-PBE", "state": "relaxed", "lattice_angstrom": [[3.406, 0.000, 0.000], [0.000, 3.406, 0.000], [0.000, 0.000, 8.867]], "species": ["Hg", "Cu", "Bi", "Bi"], "fractional_positions": [[0.500, 0.500, 0.500], [0.500, 0.500, 0.000], [0.000, 0.000, 0.200], [0.000, 0.000, 0.800]], "e_tot_ev_per_atom": -2.8964, "n_ef_per_ev_fu": 2.59, "crystal_system": "tetragonal"}

---

(2)
{"formula": "CuHgBi2", "functional": "GGA-PBE", "state": "relaxed", "lattice_angstrom": [[5.294, 0.000, 0.000], [0.000, 5.294, 0.000], [2.647, 2.647, 8.647]], "species": ["Hg", "Bi", "Cu", "Bi", "Hg", "Bi", "Bi", "Cu"], "fractional_positions": [[0.750, 0.250, 0.500], [0.875, 0.816, 0.750], [0.500, 0.500, 0.000], [0.184, 0.625, 0.250], [0.000, 0.000, 0.000], [0.375, 0.434, 0.750], [0.566, 0.125, 0.250], [0.250, 0.750, 0.500]], "e_tot_ev_per_atom": -2.7718, "n_ef_per_ev_fu": 2.50, "crystal_system": "tetragonal"}

---

(3)
{"formula": "Cu2HgBi", "functional": "GGA-PBE", "state": "relaxed", "lattice_angstrom": [[-3.117, -3.419, 4.005], [4.702, 0.288, 3.905], [-1.502, 3.340, 6.357]], "species": ["Cu", "Cu", "Hg", "Cu", "Bi", "Hg", "Cu", "Bi"], "fractional_positions": [[0.875, 0.880, 0.750], [0.120, 0.625, 0.250], [0.500, 0.500, 0.000], [0.630, 0.125, 0.250], [0.750, 0.250, 0.500], [0.250, 0.750, 0.500], [0.375, 0.370, 0.750], [0.000, 0.000, 0.000]], "n_ef_per_ev_fu": 2.67, "polymorph_energy_mev_per_atom": 206, "crystal_system": "tetragonal"}

---

(4)
{"formula": "Cu2HgBi", "functional": "GGA-PBE", "state": "relaxed", "lattice_angstrom": [[0.000, 3.386, 3.386], [3.386, 0.000, 3.386], [3.386, 3.386, 0.000]], "species": ["Cu", "Cu", "Bi", "Hg"], "fractional_positions": [[0.750, 0.750, 0.750], [0.250, 0.250, 0.250], [0.500, 0.500, 0.500], [0.000, 0.000, 0.000]], "n_ef_per_ev_fu": 2.75, "polymorph_energy_mev_per_atom": 0, "crystal_system": "cubic"}